# 1
# GGA-PBE CeNpPa2, relaxed
data_CeNpPa2
_chemical_formula_sum 'Ce1 Np1 Pa2'
_cell_length_a 4.675
_cell_length_b 4.675
_cell_length_c 4.467
_cell_angle_alpha 90.00
_cell_angle_beta 90.00
_cell_angle_gamma 90.00
_symmetry_space_group_name_H-M 'P 4/m m m'
_symmetry_Int_Tables_number 123
_symmetry_space_group_name_Hall '-P 4 2'
loop_
_atom_site_label
_atom_site_type_symbol
_atom_site_fract_x
_atom_site_fract_y
_atom_site_fract_z
_atom_site_occupancy
Ce1 Ce 0.000 0.000 0.000 1
Np1 Np 0.500 0.500 0.000 1
Pa1 Pa 0.000 0.500 0.500 1
# E_tot = -9.278 eV per atom
# energy relative to the elements = 188.6 meV per atom
# V = 98 Å³/f.u.
# energy relative to the lowest polymorph listed for this composition = 34 meV per atom
# DOS(E_F) = 11.42 states/eV/cell



# 2
# GGA-PBE RbDy3Se4, relaxed
data_RbDy3Se4
_chemical_formula_sum 'Rb2 Dy6 Se8'
_cell_length_a 4.1545
_cell_length_b 4.1545
_cell_length_c 29.1970
_cell_angle_alpha 90.00
_cell_angle_beta 90.00
_cell_angle_gamma 120.00
_symmetry_space_group_name_H-M 'P 63/m m c'
_symmetry_Int_Tables_number 194
_symmetry_space_group_name_Hall '-P 6c 2c'
loop_
_atom_site_label
_atom_site_type_symbol
_atom_site_fract_x
_atom_site_fract_y
_atom_site_fract_z
_atom_site_occupancy
Rb1 Rb 0.3333 0.6667 0.2500 1
Dy1 Dy 0.0000 0.0000 0.0000 1
Dy2 Dy 0.3333 0.6667 0.6122 1
Se1 Se 0.0000 0.0000 0.1662 1
Se2 Se 0.3333 0.6667 0.0560 1
# E_tot = -5.327 eV per atom
# V = 218 Å³/f.u.
# formation energy without anion corrections = -1738 meV per atom
# DOS(E_F) = 6.45 states/eV/cell



# 3
# GGA-PBE Pu3U4C8, relaxed
data_Pu3U4C8
_chemical_formula_sum 'Pu6 U8 C16'
_cell_length_a 9.918
_cell_length_b 9.900
_cell_length_c 6.990
_cell_angle_alpha 90.00
_cell_angle_beta 134.48
_cell_angle_gamma 90.00
_symmetry_space_group_name_H-M 'C 1 2/m 1'
_symmetry_Int_Tables_number 12
_symmetry_space_group_name_Hall '-C 2y'
loop_
_atom_site_label
_atom_site_type_symbol
_atom_site_fract_x
_atom_site_fract_y
_atom_site_fract_z
_atom_site_occupancy
Pu1 Pu 0.000 0.000 0.000 1
Pu2 Pu 0.250 0.250 0.000 1
U1 U 0.000 0.000 0.500 1
U2 U 0.000 0.500 0.000 1
U3 U 0.250 0.250 0.500 1
C1 C 0.000 0.228 0.500 1
C2 C 0.000 0.260 0.000 1
C3 C 0.235 0.000 0.951 1
C4 C 0.245 0.000 0.529 1
# E_tot = -10.541 eV per atom
# energy relative to the elements = 254.7 meV per atom
# V = 245 Å³/f.u.
# DOS(E_F) = 55.44 states/eV/cell



# 4
# GGA-PBE Tl2PbAu, relaxed
data_Tl2PbAu
_chemical_formula_sum 'Tl6 Pb3 Au3'
_cell_length_a 3.7113
_cell_length_b 3.7113
_cell_length_c 28.6256
_cell_angle_alpha 90.00
_cell_angle_beta 90.00
_cell_angle_gamma 120.00
_symmetry_space_group_name_H-M 'R 3 m'
_symmetry_Int_Tables_number 160
_symmetry_space_group_name_Hall 'R 3 -2"'
loop_
_atom_site_label
_atom_site_type_symbol
_atom_site_fract_x
_atom_site_fract_y
_atom_site_fract_z
_atom_site_occupancy
Tl1 Tl 0.0000 0.0000 0.0000 1
Tl2 Tl 0.0000 0.0000 0.1906 1
Pb1 Pb 0.0000 0.0000 0.4298 1
Au1 Au 0.0000 0.0000 0.5953 1
# E_tot = -2.892 eV per atom
# energy relative to the elements = 38.0 meV per atom
# V = 114 Å³/f.u.
# DOS(E_F) = 7.67 states/eV/cell



# 5
# GGA-PBE NiTeBr2, relaxed
data_NiTeBr2
_chemical_formula_sum 'Ni2 Te2 Br4'
_cell_length_a 3.264
_cell_length_b 6.596
_cell_length_c 10.786
_cell_angle_alpha 90.00
_cell_angle_beta 90.00
_cell_angle_gamma 90.00
_symmetry_space_group_name_H-M 'C m m m'
_symmetry_Int_Tables_number 65
_symmetry_space_group_name_Hall '-C 2 2'
loop_
_atom_site_label
_atom_site_type_symbol
_atom_site_fract_x
_atom_site_fract_y
_atom_site_fract_z
_atom_site_occupancy
Ni1 Ni 0.000 0.000 0.000 1
Te1 Te 0.000 0.000 0.500 1
Br1 Br 0.000 0.500 0.152 1
# E_tot = -3.018 eV per atom
# V = 116 Å³/f.u.
# energy relative to the lowest polymorph listed for this composition = 298 meV per atom
# formation energy without anion corrections = 49 meV per atom
# DOS(E_F) = 11.70 states/eV/cell



# 6
# GGA-PBE CaCdHg3, relaxed
data_CaCdHg3
_chemical_formula_sum 'Ca4 Cd4 Hg12'
_cell_length_a 9.593
_cell_length_b 5.101
_cell_length_c 10.552
_cell_angle_alpha 90.00
_cell_angle_beta 90.00
_cell_angle_gamma 90.00
_symmetry_space_group_name_H-M 'P n m a'
_symmetry_Int_Tables_number 62
_symmetry_space_group_name_Hall '-P 2ac 2n'
loop_
_atom_site_label
_atom_site_type_symbol
_atom_site_fract_x
_atom_site_fract_y
_atom_site_fract_z
_atom_site_occupancy
Ca1 Ca 0.242 0.250 0.005 1
Cd1 Cd 0.116 0.250 0.332 1
Hg1 Hg 0.066 0.250 0.612 1
Hg2 Hg 0.084 0.750 0.874 1
Hg3 Hg 0.128 0.750 0.168 1
# E_tot = -1.032 eV per atom
# energy relative to the elements = -267.4 meV per atom
# V = 129 Å³/f.u.
# energy relative to the lowest polymorph listed for this composition = 0 meV per atom
# DOS(E_F) = 8.35 states/eV/cell



Q: What is the DOS(E_F) in the fourth record?
A: 7.67 states/eV/cell



Q: Look up the V of the fourth one.
A: 114 Å³/f.u.



Q: The highest DOS(E_F) belongs to which entry?
A: Pu3U4C8



Q: Among the records above, which one has the lowest E_tot?
A: Pu3U4C8